Below is crystalline LiTaOs2 at its relaxed geometry, with properties calculated at the PBE-GGA level.

Summary:
volume: 14.64 Å³/atom
total magnetization: 0.00 μB/f.u.
VASP energy: -8.89 eV per atom
DFT formation energy: 0.170 eV per atom
theoretical density: 16.1 g/cm³

abc: 4.853 4.853 4.853
angles: 133.79 133.79 67.42
Sites, in units of the cell vectors:
Li: 0.000 0.000 0.000
Ta: 0.750 0.250 0.500
Os: 0.250 0.750 0.500
Os: 0.500 0.500 0.000